A relaxed LuMnO3 crystal, computed with PBE+U.

Values from the calculation:
Uncorrected energy   -7.80 eV per atom
Crystal system   orthorhombic
ρ   8.72 g/cm³

Unit cell a=5.134 b=5.572 c=7.401 alpha=90.00 beta=90.00 gamma=90.00
Last column: magnetic moment on the atom in μB.
Fractional coordinates of all 20 atoms:
Mn: 0.000 0.500 0.000  2.01
Mn: 0.500 0.000 0.500  2.01
Mn: 0.500 0.000 0.000  2.01
Mn: 0.000 0.500 0.500  2.01
Lu: 0.528 0.580 0.250  0.01
Lu: 0.472 0.420 0.750  0.01
Lu: 0.972 0.080 0.250  0.01
Lu: 0.028 0.920 0.750  0.01
O: 0.813 0.809 0.440  -0.02
O: 0.187 0.191 0.940  -0.02
O: 0.187 0.191 0.560  -0.02
O: 0.377 0.956 0.250  -0.02
O: 0.123 0.456 0.250  -0.02
O: 0.687 0.309 0.060  -0.02
O: 0.813 0.809 0.060  -0.02
O: 0.687 0.309 0.440  -0.02
O: 0.313 0.691 0.940  -0.02
O: 0.313 0.691 0.560  -0.02
O: 0.623 0.044 0.750  -0.02
O: 0.877 0.544 0.750  -0.02